[1]
The following is a DFT calculation (PBE) of a geometry-optimized Ce2ScAl3Au4 structure.

## Properties
* electronic total energy: -4.905 eV/atom
* Fermi-level density of states: 16.77 states/eV per cell
* formation energy: -0.6514 eV/atom

Lattice parameters (Å, degrees): 4.4565 4.4565 10.7961 90.00 90.00 90.00
Last column: magnetic moment on the atom in μB.
Atoms (fractional coordinates):
Ce: 0.5000 0.0000 0.2353  0.83
Ce: 0.0000 0.5000 0.7647  0.83
Sc: 0.5000 0.5000 0.5000  0.12
Al: 0.0000 0.0000 0.5000  0.00
Al: 0.5000 0.0000 0.8743  0.00
Al: 0.0000 0.5000 0.1257  0.00
Au: 0.5000 0.5000 0.0000  0.01
Au: 0.0000 0.0000 0.0000  0.01
Au: 0.5000 0.0000 0.6436  0.02
Au: 0.0000 0.5000 0.3564  0.02



[2]
The following is a DFT calculation (PBE) of a geometry-optimized Ti2Au2Br structure.

## Properties
* electronic total energy: -5.024 eV/atom
* Fermi-level density of states: 8.49 states/eV per cell
* raw formation energy: -0.22 eV per atom

Lattice parameters (Å, degrees): 6.9732 6.9732 3.9149 90.00 90.00 90.00
Atoms (fractional coordinates):
Au: 0.1413 0.6413 0.5000
Au: 0.6413 0.8587 0.5000
Au: 0.8587 0.3587 0.5000
Au: 0.3587 0.1413 0.5000
Br: 0.0000 0.0000 0.0000
Br: 0.5000 0.5000 0.0000
Ti: 0.3445 0.8445 0.0000
Ti: 0.8445 0.6555 0.0000
Ti: 0.6555 0.1555 0.0000
Ti: 0.1555 0.3445 0.0000



[3]
The following is a DFT calculation (PBE) of a geometry-optimized Tb4TmHg structure.

## Properties
* electronic total energy: -3.928 eV/atom
* Fermi-level density of states: 16.43 states/eV per cell
* formation energy: -0.0453 eV/atom
* polymorph energy (0 for the lowest one): 99 meV/atom

Lattice parameters (Å, degrees): 6.3529 8.9796 8.2003 113.24 99.85 113.27
Atoms (fractional coordinates):
Tb: 0.0414 0.1644 0.7622
Tb: 0.7570 0.7121 0.6220
Tb: 0.2208 0.5977 0.7622
Tb: 0.3650 0.9099 0.6220
Tb: 0.6350 0.0901 0.3780
Tb: 0.7792 0.4023 0.2378
Tb: 0.2430 0.2879 0.3780
Tb: 0.9586 0.8356 0.2378
Tm: 0.3429 0.5929 0.1859
Tm: 0.6571 0.4071 0.8141
Hg: 0.2508 0.0008 0.0016
Hg: 0.7492 0.9992 0.9984



[4]
The following is a DFT calculation (PBE) of a geometry-optimized Pr2HgPd5Pt2 structure.

## Properties
* electronic total energy: -5.442 eV/atom
* Fermi-level density of states: 10.93 states/eV per cell
* formation energy: -0.6517 eV/atom

Lattice parameters (Å, degrees): 4.2245 9.6539 9.6539 90.00 90.00 90.00
Atoms (fractional coordinates):
Pr: 0.0000 0.6716 0.1716
Pr: 0.0000 0.3284 0.8284
Pr: 0.0000 0.1716 0.3284
Pr: 0.0000 0.8284 0.6716
Hg: 0.0000 0.0000 0.0000
Hg: 0.0000 0.5000 0.5000
Pd: 0.5000 0.2028 0.0663
Pd: 0.5000 0.7972 0.9337
Pd: 0.5000 0.0663 0.7972
Pd: 0.5000 0.7028 0.4337
Pd: 0.5000 0.9337 0.2028
Pd: 0.5000 0.2972 0.5663
Pd: 0.5000 0.5663 0.7028
Pd: 0.5000 0.4337 0.2972
Pd: 0.5000 0.5000 0.0000
Pd: 0.5000 0.0000 0.5000
Pt: 0.0000 0.1248 0.6248
Pt: 0.0000 0.8752 0.3752
Pt: 0.0000 0.6248 0.8752
Pt: 0.0000 0.3752 0.1248



[5]
The following is a DFT calculation (PBE) of a geometry-optimized CsZnP2Se structure.

## Properties
* electronic total energy: -3.597 eV/atom
* Fermi-level density of states: 2.77 states/eV per cell
* polymorph energy (0 for the lowest one): 79 meV/atom
* raw formation energy: -0.31 eV per atom

Lattice parameters (Å, degrees): 7.4304 3.9935 10.6646 90.00 103.98 90.00
Atoms (fractional coordinates):
Cs: 0.5574 0.0000 0.7249
Cs: 0.5574 0.5000 0.2249
Zn: 0.1354 0.0000 0.9571
Zn: 0.1354 0.5000 0.4571
P: 0.2683 0.0000 0.3912
P: 0.2683 0.5000 0.8912
P: 0.9750 0.0000 0.2973
P: 0.9750 0.5000 0.7973
Se: 0.8939 0.0000 0.0795
Se: 0.8939 0.5000 0.5795



[6]
The following is a DFT calculation (PBE) of a geometry-optimized Tm6Ga3Ir structure.

## Properties
* electronic total energy: -5.015 eV/atom
* Fermi-level density of states: 12.14 states/eV per cell
* formation energy: -0.5383 eV/atom

Lattice parameters (Å, degrees): 4.9356 8.5261 11.3640 89.99 90.00 90.00
Atoms (fractional coordinates):
Tm: 0.5000 0.1594 0.9136
Tm: 0.5001 0.1793 0.5840
Tm: 0.5000 0.4956 0.2545
Tm: 0.5000 0.5044 0.7455
Tm: 0.4999 0.8207 0.4160
Tm: 0.5000 0.8406 0.0864
Tm: 0.0000 0.3407 0.4135
Tm: 0.0001 0.3207 0.0841
Tm: 0.0000 0.0046 0.7545
Tm: 0.0000 0.9954 0.2455
Tm: 0.9999 0.6793 0.9159
Tm: 0.0000 0.6593 0.5865
Ga: 0.5000 0.8385 0.7350
Ga: 0.5000 0.5000 0.0000
Ga: 0.5000 0.1615 0.2650
Ga: 0.9999 0.6614 0.2335
Ga: 0.0000 0.0000 0.5000
Ga: 0.0001 0.3386 0.7665
Ir: 0.5000 0.5000 0.5000
Ir: 0.0000 0.0000 0.0000



[7]
The following is a DFT calculation (PBE) of a geometry-optimized NaV2Zn2 structure.

## Properties
* electronic total energy: -4.142 eV/atom
* Fermi-level density of states: 9.30 states/eV per cell
* formation energy: 0.2788 eV/atom

Lattice parameters (Å, degrees): 8.0412 8.0412 2.5308 90.00 90.00 90.00
Atoms (fractional coordinates):
Na: 0.0000 0.0000 0.0000
Na: 0.5000 0.5000 0.0000
Zn: 0.1878 0.6878 0.5000
Zn: 0.6878 0.8122 0.5000
Zn: 0.8122 0.3122 0.5000
Zn: 0.3122 0.1878 0.5000
V: 0.3963 0.8963 0.0000
V: 0.8963 0.6037 0.0000
V: 0.6037 0.1037 0.0000
V: 0.1037 0.3963 0.0000



[8]
The following is a DFT calculation (PBE) of a geometry-optimized Pr3Nd5Er2 structure.

## Properties
* electronic total energy: -4.458 eV/atom
* Fermi-level density of states: 29.56 states/eV per cell
* formation energy: 0.2724 eV/atom
* polymorph energy (0 for the lowest one): 102 meV/atom

Lattice parameters (Å, degrees): 6.5908 11.1398 11.1398 102.31 72.79 72.79
Atoms (fractional coordinates):
Pr: 0.4178 0.4127 0.7517
Pr: 0.9178 0.7517 0.4127
Pr: 0.5822 0.5873 0.2483
Pr: 0.0822 0.2483 0.5873
Pr: 0.2500 0.0000 0.0000
Pr: 0.7500 0.0000 0.0000
Nd: 0.2639 0.4054 0.0668
Nd: 0.7639 0.0668 0.4054
Nd: 0.7361 0.5946 0.9332
Nd: 0.2361 0.9332 0.5946
Nd: 0.5007 0.7493 0.7493
Nd: 0.4993 0.2507 0.2507
Nd: 0.7500 0.5000 0.5000
Nd: 0.2500 0.5000 0.5000
Nd: 0.9993 0.2507 0.2507
Nd: 0.0007 0.7493 0.7493
Er: 0.0942 0.7378 0.0738
Er: 0.5942 0.0738 0.7378
Er: 0.9058 0.2622 0.9262
Er: 0.4058 0.9262 0.2622



Number 1: calculated volume 214 Å³/cell. Number 2: calculated volume 190 Å³/cell. Number 3: calculated volume 364 Å³/cell. Number 4: calculated volume 394 Å³/cell. Number 5: calculated volume 307 Å³/cell. Number 6: calculated volume 478 Å³/cell. Number 7: calculated volume 164 Å³/cell. Number 8: calculated volume 705 Å³/cell.